*i*
! Dy2BiI PBE optimized geometry; values from VASP
&SYSTEM
  ibrav = 0, nat = 4, ntyp = 3
/
ATOMIC_SPECIES
Bi 208.98 Bi.upf
Dy 162.50 Dy.upf
I 126.90 I.upf
ATOMIC_POSITIONS angstrom
Bi 0.000 0.000 0.000
Dy -9.172 -2.535 0.480
I -6.089 -1.611 0.304
Dy -3.006 -0.686 0.129
CELL_PARAMETERS angstrom
-3.789 1.629 2.013
-3.781 0.748 -2.491
-4.608 -5.598 1.086
! Mass density in Mg/m³: 8.80
! Total magnetization in μB/cell: 0.00

---

*ii*
! Dy2BiI PBE optimized geometry; values from VASP
&SYSTEM
  ibrav = 0, nat = 4, ntyp = 3
/
ATOMIC_SPECIES
Dy 162.50 Dy.upf
I 126.90 I.upf
Bi 208.98 Bi.upf
ATOMIC_POSITIONS angstrom
Dy 2.358 -2.974 5.486
I -0.863 -3.409 5.293
Bi -0.004 -5.701 9.253
Dy -0.563 -1.644 2.512
CELL_PARAMETERS angstrom
-2.986 0.152 3.001
-2.372 -3.416 0.803
3.585 -3.532 6.735
! Mass density in Mg/m³: 8.78
! Total magnetization in μB/cell: 0.00

---

Quick ranking, most stable first: *ii*, *i*.

---

*i*
! DyInBi2 PBE optimized geometry; values from VASP
&SYSTEM
  ibrav = 0, nat = 8, ntyp = 3
/
ATOMIC_SPECIES
Dy 162.50 Dy.upf
Bi 208.98 Bi.upf
In 114.82 In.upf
ATOMIC_POSITIONS angstrom
Dy 0.000 1.071 7.716
Bi 0.000 1.684 4.422
In 2.882 0.077 2.572
In 0.000 4.133 7.716
Dy 2.882 3.139 2.572
Bi 2.882 2.526 9.566
Bi 2.882 2.526 5.866
Bi 0.000 1.684 0.722
CELL_PARAMETERS angstrom
5.763 0.000 0.000
-2.882 4.211 0.000
0.000 0.000 10.288
! Mass density in Mg/m³: 9.25
! Total magnetization in μB/cell: 0.00

---

*ii*
! DyInBi2 PBE optimized geometry; values from VASP
&SYSTEM
  ibrav = 0, nat = 4, ntyp = 3
/
ATOMIC_SPECIES
Bi 208.98 Bi.upf
Dy 162.50 Dy.upf
In 114.82 In.upf
ATOMIC_POSITIONS angstrom
Bi -2.185 2.132 4.074
Dy 1.335 -1.988 1.756
In -0.099 -0.589 4.431
Bi -0.684 0.667 1.275
CELL_PARAMETERS angstrom
-0.991 -3.811 1.462
3.662 -0.166 2.051
-2.869 2.799 5.349
! Mass density in Mg/m³: 9.79
! Total magnetization in μB/cell: 0.00

---

Quick ranking, most stable first: *ii*, *i*.

---

*i*
! DyInBi2 PBE optimized geometry; values from VASP
&SYSTEM
  ibrav = 0, nat = 4, ntyp = 3
/
ATOMIC_SPECIES
Bi 208.98 Bi.upf
Dy 162.50 Dy.upf
In 114.82 In.upf
ATOMIC_POSITIONS angstrom
Bi 2.366 1.366 1.581
Dy 4.732 2.732 0.019
In 4.732 2.732 3.514
Bi 2.366 1.366 5.279
CELL_PARAMETERS angstrom
4.732 0.000 0.000
2.366 4.098 0.000
2.366 1.366 6.929
! Mass density in Mg/m³: 8.59
! Total magnetization in μB/cell: 0.00

---

*ii*
! DyInBi2 PBE optimized geometry; values from VASP
&SYSTEM
  ibrav = 0, nat = 4, ntyp = 3
/
ATOMIC_SPECIES
Bi 208.98 Bi.upf
Dy 162.50 Dy.upf
In 114.82 In.upf
ATOMIC_POSITIONS angstrom
Bi 7.390 4.267 2.828
Bi 2.463 1.422 5.710
Dy 4.927 2.845 4.269
In 0.000 0.000 0.000
CELL_PARAMETERS angstrom
4.927 0.000 0.000
2.463 4.267 0.000
2.463 1.422 8.538
! Mass density in Mg/m³: 6.43
! Total magnetization in μB/cell: 0.00

---

Quick ranking, most stable first: *i*, *ii*.

---

*i*
! Dy2InBi PBE optimized geometry; values from VASP
&SYSTEM
  ibrav = 0, nat = 4, ntyp = 3
/
ATOMIC_SPECIES
Bi 208.98 Bi.upf
Dy 162.50 Dy.upf
In 114.82 In.upf
ATOMIC_POSITIONS angstrom
Bi -2.404 -1.158 2.777
Dy -4.103 0.333 0.541
Dy -1.706 0.147 5.909
In -3.469 1.684 3.777
CELL_PARAMETERS angstrom
-3.934 -0.761 -2.038
-0.103 -4.058 1.714
-0.855 2.426 5.692
! Mass density in Mg/m³: 9.33
! Total magnetization in μB/cell: 0.00

---

*ii*
! Dy2InBi PBE optimized geometry; values from VASP
&SYSTEM
  ibrav = 0, nat = 4, ntyp = 3
/
ATOMIC_SPECIES
Bi 208.98 Bi.upf
In 114.82 In.upf
Dy 162.50 Dy.upf
ATOMIC_POSITIONS angstrom
Bi -9.048 3.340 5.376
In -5.472 1.070 3.129
Dy -4.511 4.197 3.007
Dy -2.678 0.416 1.517
CELL_PARAMETERS angstrom
-3.802 -1.636 -0.526
-1.814 -2.105 3.112
-5.314 5.854 3.660
! Mass density in Mg/m³: 8.54
! Total magnetization in μB/cell: 0.00

---

*iii*
! Dy2InBi PBE optimized geometry; values from VASP
&SYSTEM
  ibrav = 0, nat = 4, ntyp = 3
/
ATOMIC_SPECIES
In 114.82 In.upf
Bi 208.98 Bi.upf
Dy 162.50 Dy.upf
ATOMIC_POSITIONS angstrom
In 2.010 2.010 3.455
Bi 2.010 2.010 0.000
Dy 0.000 0.000 1.715
Dy 0.000 0.000 5.194
CELL_PARAMETERS angstrom
4.021 0.000 0.000
0.000 4.021 0.000
0.000 0.000 6.909
! Mass density in Mg/m³: 9.65
! Total magnetization in μB/cell: 0.00

---

*iv*
! Dy2InBi PBE optimized geometry; values from VASP
&SYSTEM
  ibrav = 0, nat = 4, ntyp = 3
/
ATOMIC_SPECIES
Dy 162.50 Dy.upf
Bi 208.98 Bi.upf
In 114.82 In.upf
ATOMIC_POSITIONS angstrom
Dy 6.321 3.650 5.956
Dy 2.107 1.217 2.121
Bi 4.214 2.433 4.039
In 0.000 0.000 0.000
CELL_PARAMETERS angstrom
4.214 0.000 0.000
2.107 3.650 0.000
2.107 1.217 8.077
! Mass density in Mg/m³: 8.67
! Total magnetization in μB/cell: 0.00

---

Quick ranking, most stable first: *i*, *iii*, *iv*, *ii*.

---

*i*
! Dy4BiIr PBE optimized geometry; values from VASP
&SYSTEM
  ibrav = 0, nat = 24, ntyp = 3
/
ATOMIC_SPECIES
Bi 208.98 Bi.upf
Dy 162.50 Dy.upf
Ir 192.22 Ir.upf
ATOMIC_POSITIONS angstrom
Bi 3.093 6.003 15.765
Dy 3.093 4.052 11.026
Dy 1.031 4.402 13.888
Ir 1.031 6.132 10.665
Dy 1.031 0.325 15.292
Dy 1.031 5.210 18.506
Dy 1.031 5.265 2.769
Dy 3.093 7.022 8.779
Dy 3.093 8.130 18.154
Dy 3.093 3.753 5.566
Ir 1.031 2.055 18.515
Dy 3.093 6.967 12.496
Bi 3.093 1.926 13.415
Bi 1.031 6.229 6.038
Dy 1.031 1.188 6.958
Dy 1.031 4.102 8.428
Dy 3.093 7.830 4.161
Dy 1.031 1.133 10.675
Ir 3.093 2.023 8.788
Dy 1.031 0.025 1.299
Ir 3.093 6.100 0.938
Bi 1.031 2.152 3.688
Dy 3.093 2.889 16.685
Dy 3.093 2.945 0.948
CELL_PARAMETERS angstrom
4.124 0.000 0.000
0.000 8.155 0.000
0.000 0.000 19.454
! Mass density in Mg/m³: 10.67
! Total magnetization in μB/cell: 0.00

---

*ii*
! Dy4BiIr PBE optimized geometry; values from VASP
&SYSTEM
  ibrav = 0, nat = 12, ntyp = 3
/
ATOMIC_SPECIES
Dy 162.50 Dy.upf
Ir 192.22 Ir.upf
Bi 208.98 Bi.upf
ATOMIC_POSITIONS angstrom
Dy -2.930 -1.555 -2.202
Ir -1.413 0.304 -0.486
Dy -2.855 -3.796 -5.179
Dy -3.783 -0.538 1.007
Bi -3.203 -3.495 2.329
Dy 0.255 -6.789 -0.988
Dy -0.599 -5.773 2.220
Dy -2.854 -5.012 -0.567
Ir -2.115 -7.631 0.505
Dy -0.673 -3.531 5.198
Dy -0.674 -2.315 0.586
Bi -0.325 -3.832 -2.310
CELL_PARAMETERS angstrom
-5.651 1.219 -1.948
3.384 -5.708 -5.549
-1.262 -2.838 7.516
! Mass density in Mg/m³: 10.22
! Total magnetization in μB/cell: 0.00

---

Quick ranking, most stable first: *i*, *ii*.

---

*i*
! Dy8Bi2Ir3 PBE optimized geometry; values from VASP
&SYSTEM
  ibrav = 0, nat = 13, ntyp = 3
/
ATOMIC_SPECIES
Dy 162.50 Dy.upf
Ir 192.22 Ir.upf
Bi 208.98 Bi.upf
ATOMIC_POSITIONS angstrom
Dy 2.429 7.226 -2.233
Ir 0.000 6.359 -3.652
Ir 0.000 1.717 7.892
Dy 0.000 7.232 2.772
Dy 4.857 5.049 -1.028
Bi 2.429 6.106 0.819
Dy 0.000 3.027 5.268
Dy 4.857 0.844 1.468
Dy 2.429 5.167 3.998
Dy 2.429 2.909 0.242
Dy 2.429 0.850 6.473
Bi 2.429 1.970 3.421
Ir 2.429 0.000 0.000
CELL_PARAMETERS angstrom
4.857 0.000 0.000
0.000 8.479 -4.871
0.000 -0.403 9.111
! Mass density in Mg/m³: 10.42
! Total magnetization in μB/cell: 0.00

---

*ii*
! Dy8Bi2Ir3 PBE optimized geometry; values from VASP
&SYSTEM
  ibrav = 0, nat = 13, ntyp = 3
/
ATOMIC_SPECIES
Dy 162.50 Dy.upf
Ir 192.22 Ir.upf
Bi 208.98 Bi.upf
ATOMIC_POSITIONS angstrom
Dy -0.958 6.834 -0.178
Dy -1.920 5.158 3.305
Ir -0.993 0.972 -3.136
Dy -6.649 -0.614 -0.542
Ir -1.821 -0.874 0.306
Dy -2.913 1.179 -1.169
Bi -1.713 3.734 0.469
Bi -5.895 2.487 -1.189
Ir -5.334 -2.559 0.895
Dy -5.419 3.309 3.994
Dy -2.188 2.911 -4.714
Dy -5.687 1.063 -4.025
Dy -4.695 5.041 0.449
CELL_PARAMETERS angstrom
-1.986 1.945 -6.272
-7.154 -3.433 1.201
1.533 7.709 4.351
! Mass density in Mg/m³: 8.96
! Total magnetization in μB/cell: 0.00

---

Quick ranking, most stable first: *i*, *ii*.

---

*i*
! Dy2BiIr PBE optimized geometry; values from VASP
&SYSTEM
  ibrav = 0, nat = 4, ntyp = 3
/
ATOMIC_SPECIES
Bi 208.98 Bi.upf
Dy 162.50 Dy.upf
Ir 192.22 Ir.upf
ATOMIC_POSITIONS angstrom
Bi -2.192 1.266 4.089
Dy -0.126 2.267 1.607
Dy -0.188 0.109 6.456
Ir -0.314 2.375 8.063
CELL_PARAMETERS angstrom
4.071 -0.157 -0.115
-2.170 3.448 0.115
-2.215 -0.915 8.063
! Mass density in Mg/m³: 10.98
! Total magnetization in μB/cell: 0.00

---

*ii*
! Dy2BiIr PBE optimized geometry; values from VASP
&SYSTEM
  ibrav = 0, nat = 4, ntyp = 3
/
ATOMIC_SPECIES
Dy 162.50 Dy.upf
Ir 192.22 Ir.upf
Bi 208.98 Bi.upf
ATOMIC_POSITIONS angstrom
Dy 0.000 0.000 1.646
Dy 0.000 0.000 6.501
Ir 1.748 1.748 0.000
Bi 1.748 1.748 4.073
CELL_PARAMETERS angstrom
3.497 0.000 0.000
0.000 3.497 0.000
0.000 0.000 8.147
! Mass density in Mg/m³: 12.11
! Total magnetization in μB/cell: 0.00

---

Quick ranking, most stable first: *ii*, *i*.

---

*i*
! Dy3BiIr PBE optimized geometry; values from VASP
&SYSTEM
  ibrav = 0, nat = 20, ntyp = 3
/
ATOMIC_SPECIES
Dy 162.50 Dy.upf
Ir 192.22 Ir.upf
Bi 208.98 Bi.upf
ATOMIC_POSITIONS angstrom
Dy 1.083 5.252 11.645
Ir 3.250 1.842 7.589
Bi 1.083 1.002 3.312
Bi 1.083 4.893 4.965
Bi 3.250 2.890 11.590
Dy 1.083 0.117 6.790
Dy 1.083 1.361 13.187
Dy 3.250 2.531 4.910
Ir 1.083 2.050 15.867
Ir 1.083 5.942 8.966
Dy 3.250 7.667 9.765
Dy 3.250 4.945 7.448
Dy 1.083 2.838 9.107
Dy 1.083 4.009 1.488
Dy 3.250 6.423 3.368
Dy 1.083 6.730 15.725
Ir 3.250 5.734 0.688
Bi 3.250 6.782 13.242
Dy 3.250 1.053 0.829
Dy 3.250 3.775 15.067
CELL_PARAMETERS angstrom
4.333 0.000 0.000
0.000 7.783 0.000
0.000 0.000 16.555
! Mass density in Mg/m³: 10.57
! Total magnetization in μB/cell: 0.00

---

*ii*
! Dy3BiIr PBE optimized geometry; values from VASP
&SYSTEM
  ibrav = 0, nat = 10, ntyp = 3
/
ATOMIC_SPECIES
Dy 162.50 Dy.upf
Bi 208.98 Bi.upf
Ir 192.22 Ir.upf
ATOMIC_POSITIONS angstrom
Dy 1.897 -0.402 7.462
Bi -0.486 1.656 3.552
Dy -0.334 -1.943 9.528
Dy 2.322 0.039 2.565
Bi 2.474 -3.560 8.541
Ir -0.966 -0.541 7.078
Dy 0.091 -1.502 4.631
Ir 2.954 -1.363 5.015
Dy 5.080 -2.130 6.739
Dy -3.092 0.226 5.354
CELL_PARAMETERS angstrom
-0.485 3.730 2.258
-4.508 -3.114 4.174
6.981 -2.519 5.661
! Mass density in Mg/m³: 10.46
! Total magnetization in μB/cell: 0.00

---

Quick ranking, most stable first: *i*, *ii*.

---

*i*
! LaDy2Bi PBE optimized geometry; values from VASP
&SYSTEM
  ibrav = 0, nat = 4, ntyp = 3
/
ATOMIC_SPECIES
Bi 208.98 Bi.upf
Dy 162.50 Dy.upf
La 138.91 La.upf
ATOMIC_POSITIONS angstrom
Bi -3.989 -4.513 -3.096
Dy -1.995 -2.256 -1.548
La 0.000 0.000 0.000
Dy -5.983 -6.769 -4.645
CELL_PARAMETERS angstrom
-1.109 -2.496 -4.808
-1.649 -5.278 -0.059
-5.220 -1.251 -1.326
! Mass density in Mg/m³: 9.35
! Total magnetization in μB/cell: 0.00

---

*ii*
! LaDy2Bi PBE optimized geometry; values from VASP
&SYSTEM
  ibrav = 0, nat = 4, ntyp = 3
/
ATOMIC_SPECIES
La 138.91 La.upf
Bi 208.98 Bi.upf
Dy 162.50 Dy.upf
ATOMIC_POSITIONS angstrom
La 2.445 2.485 2.485
Bi 2.445 0.000 0.000
Dy 0.000 0.000 2.485
Dy 0.000 2.485 0.000
CELL_PARAMETERS angstrom
4.890 0.000 0.000
0.000 4.970 0.000
0.000 0.000 4.970
! Mass density in Mg/m³: 9.25
! Total magnetization in μB/cell: 0.00

---

*iii*
! LaDy2Bi PBE optimized geometry; values from VASP
&SYSTEM
  ibrav = 0, nat = 4, ntyp = 3
/
ATOMIC_SPECIES
La 138.91 La.upf
Bi 208.98 Bi.upf
Dy 162.50 Dy.upf
ATOMIC_POSITIONS angstrom
La 0.332 -2.492 -1.381
Bi -2.354 -4.044 0.772
Dy -3.866 -2.233 3.099
Dy -1.507 -0.871 1.208
CELL_PARAMETERS angstrom
-1.656 -1.699 -3.291
2.321 -3.285 0.528
-5.373 -3.104 4.307
! Mass density in Mg/m³: 8.99
! Total magnetization in μB/cell: 0.00

---

Quick ranking, most stable first: *ii*, *iii*, *i*.

---

*i*
! La2DyBi3 PBE optimized geometry; values from VASP
&SYSTEM
  ibrav = 0, nat = 6, ntyp = 3
/
ATOMIC_SPECIES
Bi 208.98 Bi.upf
La 138.91 La.upf
Dy 162.50 Dy.upf
ATOMIC_POSITIONS angstrom
Bi 0.257 1.502 4.465
La -0.075 2.936 1.483
Bi -3.345 2.683 1.629
La -3.013 1.250 4.611
Dy -3.264 -0.214 0.260
Bi 0.000 0.000 0.000
CELL_PARAMETERS angstrom
-0.404 4.385 -1.452
-6.527 -0.429 0.520
3.843 0.229 7.026
! Mass density in Mg/m³: 8.40
! Total magnetization in μB/cell: 0.00

---

*ii*
! La2DyBi3 PBE optimized geometry; values from VASP
&SYSTEM
  ibrav = 0, nat = 24, ntyp = 3
/
ATOMIC_SPECIES
Bi 208.98 Bi.upf
La 138.91 La.upf
Dy 162.50 Dy.upf
ATOMIC_POSITIONS angstrom
Bi 1.166 1.754 -0.699
Bi -1.465 3.711 6.567
La 3.949 0.024 -0.694
Bi 5.642 2.468 0.771
Bi 0.044 6.084 0.800
Bi 2.818 4.340 8.097
Dy 0.106 6.075 8.074
La 3.637 5.470 5.105
La 6.362 3.653 12.430
La 5.555 2.439 8.040
Bi 4.519 6.693 2.152
Bi -0.737 4.909 10.936
Bi 1.944 3.026 3.639
Dy 0.405 0.610 2.206
Dy 4.451 6.694 9.530
Bi 0.867 7.219 5.169
Bi 0.432 0.548 9.584
Bi 4.763 1.146 10.965
La 4.756 1.238 3.696
La 2.830 4.256 0.714
Dy -0.705 4.856 3.662
Bi 3.696 5.558 -2.216
La 2.026 3.047 11.022
La 1.219 1.834 6.631
CELL_PARAMETERS angstrom
7.886 0.029 -1.458
-3.024 7.283 -1.458
-0.005 -0.008 14.651
! Mass density in Mg/m³: 8.41
! Total magnetization in μB/cell: 0.00

---

Quick ranking, most stable first: *ii*, *i*.

---

*i*
! LaDyBi2 PBE optimized geometry; values from VASP
&SYSTEM
  ibrav = 0, nat = 4, ntyp = 3
/
ATOMIC_SPECIES
Bi 208.98 Bi.upf
Dy 162.50 Dy.upf
La 138.91 La.upf
ATOMIC_POSITIONS angstrom
Bi -2.153 1.020 5.902
Dy -4.588 -0.679 4.667
La -6.815 -0.366 8.713
Bi -2.293 -0.325 2.371
CELL_PARAMETERS angstrom
-4.544 0.367 0.039
-2.557 -3.492 1.431
-2.079 1.736 7.779
! Mass density in Mg/m³: 8.50
! Total magnetization in μB/cell: 0.00

---

*ii*
! LaDyBi2 PBE optimized geometry; values from VASP
&SYSTEM
  ibrav = 0, nat = 4, ntyp = 3
/
ATOMIC_SPECIES
Bi 208.98 Bi.upf
Dy 162.50 Dy.upf
La 138.91 La.upf
ATOMIC_POSITIONS angstrom
Bi 6.868 3.994 5.735
Dy 0.000 0.000 0.000
La 4.579 2.663 3.760
Bi 2.289 1.331 1.784
CELL_PARAMETERS angstrom
4.599 0.012 0.018
2.286 3.991 0.018
2.273 1.321 7.484
! Mass density in Mg/m³: 8.72
! Total magnetization in μB/cell: 0.00

---

Quick ranking, most stable first: *ii*, *i*.